1.
# Ac2Zn6CoIr, optimized geometry, DFT PBE
data_Ac2Zn6CoIr
_symmetry_space_group_name_H-M 'F m m m'
_symmetry_Int_Tables_number 69
_symmetry_space_group_name_Hall '-F 2 2'
_cell_length_a 9.5119
_cell_length_b 9.5185
_cell_length_c 9.5287
_cell_angle_alpha 90.00
_cell_angle_beta 90.00
_cell_angle_gamma 90.00
loop_
_atom_site_label
_atom_site_fract_x
_atom_site_fract_y
_atom_site_fract_z
Ac1 0.2500 0.2500 0.2500
Zn1 0.0000 0.0000 0.2421
Zn2 0.0000 0.2421 0.0000
Zn3 0.2421 0.0000 0.0000
Co1 0.0000 0.0000 0.0000
Ir1 0.0000 0.0000 0.5000
# crystal system	orthorhombic
# density	8.5	Mg/m³
# E	-3.41	eV/atom

2.
# BeHgRh2, optimized geometry, DFT PBE
data_BeHgRh2
_symmetry_space_group_name_H-M 'C 1 m 1'
_symmetry_Int_Tables_number 8
_cell_length_a 9.2044
_cell_length_b 2.9444
_cell_length_c 5.2003
_cell_angle_alpha 90.00
_cell_angle_beta 123.86
_cell_angle_gamma 90.00
loop_
_symmetry_equiv_pos_as_xyz
'x,y,z'
'x,-y,z'
'x+1/2,y+1/2,z'
'x+1/2,-y+1/2,z'
loop_
_atom_site_label
_atom_site_fract_x
_atom_site_fract_y
_atom_site_fract_z
Be1 0.0000 0.0000 0.0000
Hg1 0.2667 0.0000 0.5512
Rh1 0.1456 0.5000 0.8934
Rh2 0.4440 0.0000 0.2567
# crystal system	monoclinic
# density	11.8	Mg/m³
# polymorph energy (0 for the lowest one)	173	meV/atom

3.
# TaNb3Rh6, optimized geometry, DFT PBE
data_TaNb3Rh6
_symmetry_space_group_name_H-M 'P -1'
_symmetry_Int_Tables_number 2
_cell_length_a 4.8124
_cell_length_b 7.4561
_cell_length_c 9.7362
_cell_angle_alpha 108.39
_cell_angle_beta 101.48
_cell_angle_gamma 100.70
loop_
_symmetry_equiv_pos_as_xyz
'x,y,z'
'-x,-y,-z'
loop_
_atom_site_label
_atom_site_fract_x
_atom_site_fract_y
_atom_site_fract_z
Ta1 0.1817 0.0493 0.3894
Nb1 0.0459 0.3618 0.8063
Nb2 0.2805 0.7723 0.0045
Nb3 0.3557 0.4709 0.6094
Rh1 0.0585 0.3466 0.3020
Rh2 0.1349 0.0564 0.8976
Rh3 0.2328 0.7577 0.4984
Rh4 0.3489 0.4469 0.0997
Rh5 0.4243 0.1511 0.6934
Rh6 0.4605 0.1512 0.2025
# crystal system	triclinic
# density	11.4	Mg/m³
# E	-9.08	eV/atom